[1]
This record from Alexandria via LeMat-Bulk describes AcP4F after structural relaxation. The functional is PBE.

Results
Energy relative to the elements, uncorrected, eV per atom: -0.703
Total magnetic moment, μB/f.u.: 0.00
Calculated total energy, eV per atom: -5.3063

CIF file:
```
data_AcP4F
_symmetry_space_group_name_H-M 'F -4 3 m'
_symmetry_Int_Tables_number 216
_symmetry_space_group_name_Hall 'F -4 2 3'
_cell_length_a 7.6730
_cell_length_b 7.6730
_cell_length_c 7.6730
_cell_angle_alpha 90.00
_cell_angle_beta 90.00
_cell_angle_gamma 90.00
loop_
_atom_site_label
_atom_site_type_symbol
_atom_site_fract_x
_atom_site_fract_y
_atom_site_fract_z
Ac1 Ac 0.0000 0.0000 0.0000
P1 P 0.1071 0.1071 0.3929
F1 F 0.2500 0.2500 0.7500
```

---

[2]
This record from Alexandria via LeMat-Bulk describes SrZrTlGe2 after structural relaxation. The functional is PBE.

Results
Total magnetic moment, μB/f.u.: 1.34
Calculated total energy, eV per atom: -3.6687
Formation enthalpy at 0 K, meV per atom: 698

CIF file:
```
data_SrZrTlGe2
_symmetry_space_group_name_H-M 'P 4/m m m'
_symmetry_Int_Tables_number 123
_symmetry_space_group_name_Hall '-P 4 2'
_cell_length_a 5.4228
_cell_length_b 5.4228
_cell_length_c 5.5619
_cell_angle_alpha 90.00
_cell_angle_beta 90.00
_cell_angle_gamma 90.00
loop_
_atom_site_label
_atom_site_type_symbol
_atom_site_fract_x
_atom_site_fract_y
_atom_site_fract_z
Sr1 Sr 0.0000 0.0000 0.0000
Zr1 Zr 0.5000 0.5000 0.0000
Tl1 Tl 0.5000 0.5000 0.5000
Ge1 Ge 0.0000 0.5000 0.5000
```

---

[3]
This record from Alexandria via LeMat-Bulk describes SmDy3Zn after structural relaxation. The functional is PBE.

Results
Total magnetic moment, μB/f.u.: 0.00
Calculated total energy, eV per atom: -3.9006
Formation enthalpy at 0 K, meV per atom: 59

CIF file:
```
data_SmDy3Zn
_symmetry_space_group_name_H-M 'C 1 2/m 1'
_symmetry_Int_Tables_number 12
_cell_length_a 11.5673
_cell_length_b 8.4379
_cell_length_c 7.7557
_cell_angle_alpha 90.00
_cell_angle_beta 124.91
_cell_angle_gamma 90.00
loop_
_symmetry_equiv_pos_as_xyz
'x,y,z'
'-x,-y,-z'
'-x,y,-z'
'x,-y,z'
'x+1/2,y+1/2,z'
'-x+1/2,-y+1/2,-z'
'-x+1/2,y+1/2,-z'
'x+1/2,-y+1/2,z'
loop_
_atom_site_label
_atom_site_type_symbol
_atom_site_fract_x
_atom_site_fract_y
_atom_site_fract_z
Sm1 Sm 0.0822 0.0000 0.2723
Dy1 Dy 0.0476 0.5000 0.3097
Dy2 Dy 0.1885 0.2012 0.7154
Zn1 Zn 0.2348 0.0000 0.0660
```

---

[4]
This record from Alexandria via LeMat-Bulk describes BaPrCdPb after structural relaxation. The functional is PBE.

Results
Total magnetic moment, μB/f.u.: 0.00
Calculated total energy, eV per atom: -3.1911
Formation enthalpy at 0 K, meV per atom: -360

CIF file:
```
data_BaPrCdPb
_symmetry_space_group_name_H-M 'F -4 3 m'
_symmetry_Int_Tables_number 216
_symmetry_space_group_name_Hall 'F -4 2 3'
_cell_length_a 8.1894
_cell_length_b 8.1894
_cell_length_c 8.1894
_cell_angle_alpha 90.00
_cell_angle_beta 90.00
_cell_angle_gamma 90.00
loop_
_atom_site_label
_atom_site_type_symbol
_atom_site_fract_x
_atom_site_fract_y
_atom_site_fract_z
Ba1 Ba 0.0000 0.0000 0.0000
Pr1 Pr 0.0000 0.0000 0.5000
Cd1 Cd 0.2500 0.2500 0.2500
Pb1 Pb 0.2500 0.2500 0.7500
```

---

[5]
This record from Alexandria via LeMat-Bulk describes Fe3Ag after structural relaxation. The functional is PBE.

Results
Total magnetic moment, μB/f.u.: 8.08
Calculated total energy, eV per atom: -6.7079
Formation enthalpy at 0 K, meV per atom: 352

CIF file:
```
data_Fe3Ag
_symmetry_space_group_name_H-M 'R -3 m'
_symmetry_Int_Tables_number 166
_symmetry_space_group_name_Hall '-R 3 2"'
_cell_length_a 8.5434
_cell_length_b 8.5434
_cell_length_c 2.5682
_cell_angle_alpha 90.00
_cell_angle_beta 90.00
_cell_angle_gamma 120.00
loop_
_atom_site_label
_atom_site_type_symbol
_atom_site_fract_x
_atom_site_fract_y
_atom_site_fract_z
Fe1 Fe 0.0000 0.5000 0.0000
Ag1 Ag 0.0000 0.0000 0.0000
```

---

[6]
This record from Alexandria via LeMat-Bulk describes CaHoPd3 after structural relaxation. The functional is PBE.

Results
Total magnetic moment, μB/f.u.: 0.00
Calculated total energy, eV per atom: -5.1642
Formation enthalpy at 0 K, meV per atom: -733

CIF file:
```
data_CaHoPd3
_symmetry_space_group_name_H-M 'P 1 21/c 1'
_symmetry_Int_Tables_number 14
_cell_length_a 7.1361
_cell_length_b 8.2348
_cell_length_c 7.6833
_cell_angle_alpha 90.00
_cell_angle_beta 114.29
_cell_angle_gamma 90.00
loop_
_symmetry_equiv_pos_as_xyz
'x,y,z'
'-x,-y,-z'
'-x,y+1/2,-z+1/2'
'x,-y+1/2,z+1/2'
loop_
_atom_site_label
_atom_site_type_symbol
_atom_site_fract_x
_atom_site_fract_y
_atom_site_fract_z
Ca1 Ca 0.1818 0.0694 0.2114
Ho1 Ho 0.3795 0.7014 0.4614
Pd1 Pd 0.0662 0.6672 0.0689
Pd2 Pd 0.1822 0.1112 0.8348
Pd3 Pd 0.3974 0.0426 0.6283
```

---

[7]
This record from Alexandria via LeMat-Bulk describes Pm6SnS5 after structural relaxation. The functional is PBE.

Results
Energy relative to the elements, uncorrected, eV per atom: -1.790
Total magnetic moment, μB/f.u.: 0.00
Calculated total energy, eV per atom: -6.2187

CIF file:
```
data_Pm6SnS5
_symmetry_space_group_name_H-M 'C 1 2/m 1'
_symmetry_Int_Tables_number 12
_cell_length_a 7.1308
_cell_length_b 12.3559
_cell_length_c 7.1552
_cell_angle_alpha 90.00
_cell_angle_beta 109.47
_cell_angle_gamma 90.00
loop_
_symmetry_equiv_pos_as_xyz
'x,y,z'
'-x,-y,-z'
'-x,y,-z'
'x,-y,z'
'x+1/2,y+1/2,z'
'-x+1/2,-y+1/2,-z'
'-x+1/2,y+1/2,-z'
'x+1/2,-y+1/2,z'
loop_
_atom_site_label
_atom_site_type_symbol
_atom_site_fract_x
_atom_site_fract_y
_atom_site_fract_z
Pm1 Pm 0.2396 0.0000 0.2570
Pm2 Pm 0.2407 0.1728 0.7402
Sn1 Sn 0.0000 0.5000 0.0000
S1 S 0.0000 0.0000 0.5000
S2 S 0.0000 0.1679 0.0000
S3 S 0.0000 0.3386 0.5000
```

---

[8]
This record from Alexandria via LeMat-Bulk describes CaTm2Tl3Te6 after structural relaxation. The functional is PBE.

Results
Energy relative to the elements, uncorrected, eV per atom: -0.975
Total magnetic moment, μB/f.u.: 0.00
Calculated total energy, eV per atom: -4.0494

CIF file:
```
data_CaTm2Tl3Te6
_symmetry_space_group_name_H-M 'C 1 2/m 1'
_symmetry_Int_Tables_number 12
_cell_length_a 7.7346
_cell_length_b 13.3885
_cell_length_c 8.3889
_cell_angle_alpha 90.00
_cell_angle_beta 107.85
_cell_angle_gamma 90.00
loop_
_symmetry_equiv_pos_as_xyz
'x,y,z'
'-x,-y,-z'
'-x,y,-z'
'x,-y,z'
'x+1/2,y+1/2,z'
'-x+1/2,-y+1/2,-z'
'-x+1/2,y+1/2,-z'
'x+1/2,-y+1/2,z'
loop_
_atom_site_label
_atom_site_type_symbol
_atom_site_fract_x
_atom_site_fract_y
_atom_site_fract_z
Ca1 Ca 0.0000 0.0000 0.0000
Tm1 Tm 0.0000 0.3325 0.0000
Tl1 Tl 0.0000 0.1640 0.5000
Tl2 Tl 0.0000 0.5000 0.5000
Te1 Te 0.2258 0.5000 0.2127
Te2 Te 0.2449 0.1724 0.2165
```

---

[9]
This record from Alexandria via LeMat-Bulk describes Y2Zn6Rh after structural relaxation. The functional is PBE.

Results
Total magnetic moment, μB/f.u.: 0.00
Calculated total energy, eV per atom: -3.5087
Formation enthalpy at 0 K, meV per atom: -406

CIF file:
```
data_Y2Zn6Rh
_symmetry_space_group_name_H-M 'P -3 m 1'
_symmetry_Int_Tables_number 164
_symmetry_space_group_name_Hall '-P 3 2"'
_cell_length_a 5.6984
_cell_length_b 5.6984
_cell_length_c 5.7396
_cell_angle_alpha 90.00
_cell_angle_beta 90.00
_cell_angle_gamma 120.00
loop_
_atom_site_label
_atom_site_type_symbol
_atom_site_fract_x
_atom_site_fract_y
_atom_site_fract_z
Y1 Y 0.3333 0.6667 0.3490
Zn1 Zn 0.1768 0.3537 0.8306
Rh1 Rh 0.0000 0.0000 0.5000
```

---

[10]
This record from Alexandria via LeMat-Bulk describes CrPtAu after structural relaxation. The functional is PBE.

Results
Total magnetic moment, μB/f.u.: 3.19
Distance to the lowest polymorph of the same formula, eV per atom: 0.2572
Calculated total energy, eV per atom: -6.0665
Formation enthalpy at 0 K, meV per atom: 247

CIF file:
```
data_CrPtAu
_symmetry_space_group_name_H-M 'F -4 3 m'
_symmetry_Int_Tables_number 216
_symmetry_space_group_name_Hall 'F -4 2 3'
_cell_length_a 6.0201
_cell_length_b 6.0201
_cell_length_c 6.0201
_cell_angle_alpha 90.00
_cell_angle_beta 90.00
_cell_angle_gamma 90.00
loop_
_atom_site_label
_atom_site_type_symbol
_atom_site_fract_x
_atom_site_fract_y
_atom_site_fract_z
Cr1 Cr 0.0000 0.0000 0.0000
Pt1 Pt 0.2500 0.2500 0.2500
Au1 Au 0.2500 0.2500 0.7500
```